VASP calculation (GGA+U) on an optimized crystal structure of SrV2MoO8. Values from VASP.

Cell and atoms, written as Quantum ESPRESSO input:
```
&SYSTEM
  ibrav = 0, nat = 12, ntyp = 4
/
ATOMIC_SPECIES
O 16.00 O.upf
Mo 95.94 Mo.upf
Sr 87.62 Sr.upf
V 50.94 V.upf
CELL_PARAMETERS angstrom
-5.164 -1.949 -2.348
1.199 -1.561 5.666
-0.371 5.987 0.005
ATOMIC_POSITIONS angstrom
O -1.880 2.869 2.658
O -3.917 2.523 -1.397
O -4.684 -0.307 -0.650
O -2.033 1.148 -0.600
O -1.188 -0.316 2.263
O -4.402 1.200 1.280
O -3.716 -1.508 1.719
O -1.889 3.907 0.007
Mo -0.577 1.335 3.665
Sr 0.000 0.000 0.000
V -1.983 -1.755 1.659
V -3.759 1.141 -0.342
```

Output
space group = I-4m2, No. 119
total energy = -86.38 eV/cell
density = 4.19 g/cm3